(i)
Computed, not measured: an optimized crystal structure of HoPu2Zn at the PBE-GGA level of DFT.

Values from the calculation:
Space group ... P4/mmm (123)
Fermi-level density of states ... 3.700 states/eV per atom
Magnetic moment ... 2.9507 μB/atom

Cell lengths 3.3236, 3.3236, 9.2931 Å; angles 90.00, 90.00, 90.00 degrees
Last column: nearest neighbours and their distance in Å.
Positions (direct):
Ho (0.0000, 0.0000, 0.0000)  4 Ho 3.32, 8 Pu 3.52
Pu (0.5000, 0.5000, 0.2823)  4 Zn 3.10, 4 Pu 3.32
Pu (0.5000, 0.5000, 0.7177)  4 Zn 3.10, 4 Pu 3.32
Zn (0.0000, 0.0000, 0.5000)  8 Pu 3.10, 4 Zn 3.32


(ii)
Computed, not measured: an optimized crystal structure of HoPu2Zn at the PBE-GGA level of DFT.

Values from the calculation:
Space group ... Fm-3m (225)
Fermi-level density of states ... 3.497 states/eV per atom
Magnetic moment ... 3.0948 μB/atom

Cell lengths 5.2136, 5.2136, 5.2136 Å; angles 60.00, 60.00, 60.00 degrees
Last column: nearest neighbours and their distance in Å.
Positions (direct):
Ho (0.0000, 0.0000, 0.0000)  8 Pu 3.19
Pu (0.2500, 0.2500, 0.2500)  4 Zn 3.19, 4 Ho 3.19
Pu (0.7500, 0.7500, 0.7500)  4 Zn 3.19, 4 Ho 3.19
Zn (0.5000, 0.5000, 0.5000)  8 Pu 3.19


Structures ranked by computed energy, the most stable listed first: (i), (ii).